Record 1
Material: Y5GaCo5
Method: DFT, GGA-PBEsol
State: relaxed

Computed properties:
- DOS at the Fermi energy (states/eV/atom) = 0.849
- ΔE_f (eV/atom) = -0.30
- spin magnetization (μB per cell) = 0.01
- DFT total energy (eV per atom) = -7.226

abc: 3.999 10.020 20.145
angles: 90.00 90.00 90.00
Space group Cmcm (No. 63)
Symmetry-distinct sites (fractional):
Y 0.000 0.006 0.157 [8 per cell]
Y 0.000 0.294 0.065 [8 per cell]
Y 0.000 0.294 0.250 [4 per cell]
Ga 0.000 0.000 0.000 [4 per cell]
Co 0.000 0.292 0.654 [8 per cell]
Co 0.000 0.405 0.750 [4 per cell]
Co 0.000 0.417 0.558 [8 per cell]

Record 2
Material: YGa5Co
Method: DFT, GGA-PBEsol
State: relaxed

Computed properties:
- DOS at the Fermi energy (states/eV/atom) = 0.282
- ΔE_f (eV/atom) = -0.52
- spin magnetization (μB per cell) = 0.00
- DFT total energy (eV per atom) = -4.988

abc: 4.151 4.151 6.725
angles: 90.00 90.00 90.00
Space group P4/mmm (No. 123)
Symmetry-distinct sites (fractional):
Y 0.000 0.000 0.000 [1 per cell]
Ga 0.000 0.500 0.311 [4 per cell]
Ga 0.500 0.500 0.000 [1 per cell]
Co 0.000 0.000 0.500 [1 per cell]

Record 3
Material: YGaCo
Method: DFT, GGA-PBEsol
State: relaxed

Computed properties:
- DOS at the Fermi energy (states/eV/atom) = 0.866
- ΔE_f (eV/atom) = -0.51
- spin magnetization (μB per cell) = 0.00
- DFT total energy (eV per atom) = -6.477

abc: 6.621 4.055 7.530
angles: 90.00 90.00 90.00
Space group Pnma (No. 62)
Symmetry-distinct sites (fractional):
Y 0.026 0.250 0.185 [4 per cell]
Ga 0.152 0.250 0.564 [4 per cell]
Co 0.225 0.750 0.381 [4 per cell]

- The highest DFT total energy belongs to which entry?
  YGa5Co

- The lowest ΔE_f belongs to which entry?
  YGa5Co

- Number 2 is which compound?
  YGa5Co

- What is the DOS at the Fermi energy in the third record?
  0.866 states/eV/atom